## NpGeW (PBE)

Data for NpGeW after structural relaxation.

Crystal system: cubic
Total energy in eV for the cell shown: -28.666

Cell and atoms, written as POSCAR:
```
NpGeW
1.0
-3.887 -2.016 0.915
-2.486 1.395 3.447
-3.858 2.138 -0.745
Ge W Np
1 1 1
direct
0.750 0.750 0.750
0.000 0.000 0.000
0.250 0.250 0.250
```